DFT (GGA-PBE) results for a relaxed structure of Pr2TcGe5.

ΔE_f: -396 meV per atom

a b c (Å): 6.174 6.174 9.203
angles (deg): 90.00 90.00 90.00
Space group I4mm (No. 107)
Asymmetric unit:
Pr 0.000 0.500 0.000
Tc 0.000 0.000 0.219
Ge 0.000 0.000 0.956
Ge 0.214 0.214 0.745


DFT (GGA-PBE) results for a relaxed structure of PrTiTcGe2.

ΔE_f: -641 meV per atom

a b c (Å): 4.055 4.055 11.712
angles (deg): 90.00 90.00 90.00
Space group I-4m2 (No. 119)
Asymmetric unit:
Pr 0.000 0.000 0.000
Ti 0.000 0.500 0.750
Tc 0.000 0.500 0.250
Ge 0.000 0.000 0.388


DFT (GGA-PBE) results for a relaxed structure of PrGeTe2.

Formation energy without anion corrections: -2.6 eV per formula unit

a b c (Å): 4.2581 4.2581 22.9683
angles (deg): 90.00 90.00 120.00
Space group R-3m (No. 166, hexagonal axes)
Asymmetric unit:
Pr 0.0000 0.0000 0.0000
Ge 0.0000 0.0000 0.5000
Te 0.0000 0.0000 0.2409


DFT (GGA-PBE) results for a relaxed structure of Pr4GeTe3.

Formation energy without anion corrections: -11.0 eV per formula unit

a b c (Å): 9.075 12.733 4.461
angles (deg): 90.00 90.00 90.00
Space group Cmmm (No. 65)
Asymmetric unit:
Pr 0.000 0.236 0.000
Pr 0.228 0.000 0.500
Ge 0.000 0.000 0.000
Te 0.000 0.500 0.000
Te 0.250 0.250 0.500


Calculated DOS(E_F) in order - 0.60; 0.77; 0.59; 0.46 states/eV/atom
Calculated final energy in order - -5.77; -7.10; -4.57; -5.51 eV/atom